1 | BaMnBr | PBE | optimized geometry

Calculated volume: 34.4 Å³ per atom

Lattice parameters (Å, degrees): 6.9855 6.9880 4.0201 73.25 73.31 33.44
Site moments in Bohr magnetons follow the coordinates.
Sites, in units of the cell vectors:
Ba (0.9924, 0.9924, 0.0076)  -0.16
Br (0.3421, 0.3421, 0.6579)  0.02
Mn (0.6655, 0.6655, 0.3345)  4.16

=====

2 | BaMnBr | PBE | optimized geometry

Calculated volume: 38.1 Å³ per atom

Lattice parameters (Å, degrees): 5.4486 5.4486 5.4486 60.00 60.00 60.00
Site moments in Bohr magnetons follow the coordinates.
Sites, in units of the cell vectors:
Br (0.2500, 0.2500, 0.2500)  0.02
Mn (0.0000, 0.0000, 0.0000)  4.24
Ba (0.5000, 0.5000, 0.5000)  -0.12

=====

Least stable of them? 2.

=====

1 | BaMnBr | PBE | optimized geometry

Calculated volume: 40.8 Å³ per atom

Lattice parameters (Å, degrees): 5.5753 5.5753 5.5753 60.00 60.00 60.00
Site moments in Bohr magnetons follow the coordinates.
Sites, in units of the cell vectors:
Mn (0.5000, 0.5000, 0.5000)  3.96
Ba (0.2500, 0.2500, 0.2500)  -0.06
Br (0.0000, 0.0000, 0.0000)  0.01

=====

2 | BaMnBr | PBE | optimized geometry

Calculated volume: 32.0 Å³ per atom

Lattice parameters (Å, degrees): 5.1874 5.1874 4.1180 90.00 90.00 120.00
Site moments in Bohr magnetons follow the coordinates.
Sites, in units of the cell vectors:
Br (0.6667, 0.3333, 0.5006)  0.05
Mn (0.3333, 0.6667, 0.4994)  4.11
Ba (0.0000, 0.0000, 0.0000)  -0.09

=====

Least stable of them? 1.

=====

1 | Rb2BaMnBr6 | PBE | optimized geometry

Calculated volume: 37.6 Å³ per atom

Lattice parameters (Å, degrees): 7.9618 8.2672 11.4277 90.00 90.92 90.00
Site moments in Bohr magnetons follow the coordinates.
Sites, in units of the cell vectors:
Br (0.7761, 0.8180, 0.5467)  0.03
Br (0.4065, 0.9760, 0.7261)  0.03
Br (0.3217, 0.7235, 0.4489)  0.03
Br (0.2761, 0.6820, 0.0467)  0.03
Br (0.2239, 0.1820, 0.4533)  0.03
Br (0.8217, 0.7765, 0.9489)  0.03
Br (0.5935, 0.0240, 0.2739)  0.03
Br (0.1783, 0.2235, 0.0511)  0.03
Br (0.6783, 0.2765, 0.5511)  0.03
Br (0.9065, 0.5240, 0.2261)  0.03
Br (0.0935, 0.4760, 0.7739)  0.03
Br (0.7239, 0.3180, 0.9533)  0.03
Rb (0.4785, 0.4336, 0.2537)  0.00
Rb (0.9785, 0.0664, 0.7537)  0.00
Rb (0.5215, 0.5664, 0.7463)  0.00
Rb (0.0215, 0.9336, 0.2463)  0.00
Mn (0.5000, 0.0000, 0.5000)  4.42
Mn (0.0000, 0.5000, 0.0000)  4.42
Ba (0.5000, 0.0000, 0.0000)  0.02
Ba (0.0000, 0.5000, 0.5000)  0.02

=====

2 | Rb2BaMnBr6 | PBE | optimized geometry

Calculated volume: 39.6 Å³ per atom

Lattice parameters (Å, degrees): 8.2444 8.2444 8.2453 60.00 60.00 90.00
Site moments in Bohr magnetons follow the coordinates.
Sites, in units of the cell vectors:
Ba (0.0000, 0.0000, 0.0000)  0.02
Rb (0.2500, 0.7500, 0.5000)  0.00
Rb (0.7500, 0.2500, 0.5000)  0.00
Br (0.2699, 0.7301, 0.0000)  0.03
Br (0.7301, 0.7301, 0.5398)  0.03
Br (0.2699, 0.2699, 0.4602)  0.03
Br (0.2699, 0.2699, 0.0000)  0.03
Br (0.7301, 0.2699, 0.0000)  0.03
Br (0.7301, 0.7301, 0.0000)  0.03
Mn (0.5000, 0.5000, 0.0000)  4.40

=====

Least stable of them? 2.

=====

1 | BaMnSeBr2 | PBE | optimized geometry

Calculated volume: 48.7 Å³ per atom

Lattice parameters (Å, degrees): 6.1721 6.1721 6.3881 90.00 90.00 90.00
Site moments in Bohr magnetons follow the coordinates.
Sites, in units of the cell vectors:
Mn (0.5000, 0.5000, 0.5000)  4.83
Br (0.5000, 0.0000, 0.0000)  0.01
Br (0.0000, 0.5000, 0.0000)  0.01
Se (0.0000, 0.0000, 0.5000)  -0.43
Ba (0.0000, 0.0000, 0.0000)  -0.01

=====

2 | BaMnSeBr2 | PBE | optimized geometry

Calculated volume: 29.4 Å³ per atom

Lattice parameters (Å, degrees): 5.2950 5.2950 5.2347 90.00 90.00 90.00
Site moments in Bohr magnetons follow the coordinates.
Sites, in units of the cell vectors:
Se (0.0000, 0.0000, 0.5000)  0.08
Br (0.5000, 0.0000, 0.0000)  0.06
Br (0.0000, 0.5000, 0.0000)  0.06
Mn (0.0000, 0.0000, 0.0000)  4.30
Ba (0.5000, 0.5000, 0.5000)  0.01

=====

Least stable of them? 1.

=====

1 | Ba2MoBr | PBE | optimized geometry

Calculated volume: 42.3 Å³ per atom

Lattice parameters (Å, degrees): 8.6680 8.6680 7.6057 55.26 55.26 90.00
Site moments in Bohr magnetons follow the coordinates.
Sites, in units of the cell vectors:
Br (0.5000, 0.5000, 0.0000)  0.01
Br (0.2500, 0.7500, 0.5000)  0.01
Mo (0.7500, 0.2500, 0.5000)  2.93
Mo (0.0000, 0.0000, 0.0000)  2.92
Ba (0.8750, 0.8769, 0.7500)  -0.02
Ba (0.1231, 0.6250, 0.2500)  -0.03
Ba (0.6269, 0.1250, 0.2500)  -0.03
Ba (0.3750, 0.3731, 0.7500)  -0.03

=====

2 | Ba2MoBr | PBE | optimized geometry

Calculated volume: 34.5 Å³ per atom

Lattice parameters (Å, degrees): 3.9144 3.9302 9.8159 66.11 90.00 90.00
Site moments in Bohr magnetons follow the coordinates.
Sites, in units of the cell vectors:
Ba (0.0000, 0.0139, 0.9851)  0.02
Ba (0.0000, 0.4861, 0.5149)  0.02
Br (0.5000, 0.2500, 0.2500)  0.01
Mo (0.5000, 0.7500, 0.7500)  2.38

=====

3 | Ba2MoBr | PBE | optimized geometry

Calculated volume: 35.7 Å³ per atom

Lattice parameters (Å, degrees): 7.4197 7.4197 7.4197 149.88 135.50 54.67
Site moments in Bohr magnetons follow the coordinates.
Sites, in units of the cell vectors:
Mo (0.2583, 0.7583, 0.5000)  2.76
Ba (0.7255, 0.2255, 0.5000)  -0.05
Ba (0.0208, 0.0208, 0.0000)  -0.12
Br (0.4955, 0.4955, 0.0000)  0.01

=====

4 | Ba2MoBr | PBE | optimized geometry

Calculated volume: 33.5 Å³ per atom

Lattice parameters (Å, degrees): 5.9646 3.7679 5.9673 90.02 90.00 90.00
Site moments in Bohr magnetons follow the coordinates.
Sites, in units of the cell vectors:
Ba (0.5000, 0.1257, 0.3751)  -0.05
Ba (0.0000, 0.1243, 0.8749)  -0.05
Mo (0.5000, 0.6256, 0.8750)  2.48
Br (0.0000, 0.6244, 0.3749)  0.02

=====

Least stable of them? 1.

=====

1 | Ba2MoBr | PBE | optimized geometry

Calculated volume: 34.5 Å³ per atom

Lattice parameters (Å, degrees): 6.5931 6.5931 5.6472 89.95 89.95 34.17
Site moments in Bohr magnetons follow the coordinates.
Sites, in units of the cell vectors:
Br (0.4829, 0.4829, 0.6256)  0.01
Ba (0.0088, 0.0088, 0.1254)  -0.04
Ba (0.7457, 0.7457, 0.6246)  -0.04
Mo (0.2626, 0.2626, 0.1244)  2.53

=====

2 | Ba2MoBr | PBE | optimized geometry

Calculated volume: 36.0 Å³ per atom

Lattice parameters (Å, degrees): 5.8853 5.8853 5.8853 60.00 60.00 60.00
Site moments in Bohr magnetons follow the coordinates.
Sites, in units of the cell vectors:
Ba (0.2500, 0.2500, 0.2500)  -0.06
Ba (0.7500, 0.7500, 0.7500)  -0.06
Br (0.0000, 0.0000, 0.0000)  0.03
Mo (0.5000, 0.5000, 0.5000)  3.00

=====

3 | Ba2MoBr | PBE | optimized geometry

Calculated volume: 38.5 Å³ per atom

Lattice parameters (Å, degrees): 4.8095 4.8095 6.6607 90.00 90.00 90.00
Site moments in Bohr magnetons follow the coordinates.
Sites, in units of the cell vectors:
Ba (0.5000, 0.5000, 0.3747)  -0.04
Ba (0.0000, 0.0000, 0.8752)  0.01
Mo (0.5000, 0.5000, 0.8749)  2.87
Br (0.0000, 0.0000, 0.3752)  0.00

=====

Least stable of them? 2.

=====

1 | Ba3Br3N | PBE | optimized geometry

Calculated volume: 37.7 Å³ per atom

Lattice parameters (Å, degrees): 8.4897 8.4897 8.1971 96.34 96.34 114.17
Site moments in Bohr magnetons follow the coordinates.
Sites, in units of the cell vectors:
Br (0.1705, 0.8295, 0.5000)  0.00
Br (0.7452, 0.2548, 0.0000)  0.00
Br (0.3887, 0.3887, 0.6452)  0.00
Br (0.2548, 0.7452, 0.0000)  0.00
Br (0.8295, 0.1705, 0.5000)  0.00
Br (0.6113, 0.6113, 0.3548)  0.00
Ba (0.9007, 0.9007, 0.1760)  0.01
Ba (0.0993, 0.0993, 0.8240)  0.01
Ba (0.1585, 0.4391, 0.2705)  0.01
Ba (0.8415, 0.5609, 0.7295)  0.01
Ba (0.5609, 0.8415, 0.7295)  0.01
Ba (0.4391, 0.1585, 0.2705)  0.01
N (0.1748, 0.1748, 0.1452)  0.08
N (0.8252, 0.8252, 0.8548)  0.08

=====

2 | Ba3Br3N | PBE | optimized geometry

Calculated volume: 40.2 Å³ per atom

Lattice parameters (Å, degrees): 6.4060 13.2507 13.2510 90.00 90.00 90.00
Sites, in units of the cell vectors:
Br (0.5000, 0.1246, 0.3664)
Br (0.5000, 0.6336, 0.8754)
Br (0.0000, 0.1336, 0.6246)
Br (0.5000, 0.3664, 0.1246)
Br (0.0000, 0.3468, 0.3468)
Br (0.0000, 0.3754, 0.8664)
Br (0.5000, 0.8754, 0.6336)
Br (0.0000, 0.6246, 0.1336)
Br (0.0000, 0.8664, 0.3754)
Br (0.5000, 0.8468, 0.1532)
Br (0.5000, 0.1532, 0.8468)
Br (0.0000, 0.6532, 0.6532)
N (0.5000, 0.6094, 0.3906)
N (0.5000, 0.3906, 0.6094)
N (0.0000, 0.8906, 0.8906)
N (0.0000, 0.1094, 0.1094)
Ba (0.5000, 0.1994, 0.6014)
Ba (0.0000, 0.6994, 0.8986)
Ba (0.0000, 0.9080, 0.0920)
Ba (0.5000, 0.6014, 0.1995)
Ba (0.0000, 0.0920, 0.9080)
Ba (0.5000, 0.5920, 0.5920)
Ba (0.5000, 0.4080, 0.4080)
Ba (0.5000, 0.3986, 0.8005)
Ba (0.0000, 0.1014, 0.3005)
Ba (0.0000, 0.8986, 0.6995)
Ba (0.5000, 0.8006, 0.3986)
Ba (0.0000, 0.3006, 0.1014)

=====

Least stable of them? 2.

=====

1 | BaBr3N | PBE | optimized geometry

Calculated volume: 53.5 Å³ per atom

Lattice parameters (Å, degrees): 6.4436 6.4436 6.4436 90.00 90.00 90.00
Site moments in Bohr magnetons follow the coordinates.
Sites, in units of the cell vectors:
Br (0.5000, 0.0000, 0.0000)  0.28
Br (0.0000, 0.5000, 0.0000)  0.28
Br (0.0000, 0.0000, 0.5000)  0.16
Ba (0.0000, 0.0000, 0.0000)  -0.01
N (0.5000, 0.5000, 0.5000)  1.94

=====

2 | BaBr3N | PBE | optimized geometry

Calculated volume: 25.0 Å³ per atom

Lattice parameters (Å, degrees): 4.9968 4.9968 4.9968 90.00 90.00 90.00
Sites, in units of the cell vectors:
N (0.0000, 0.0000, 0.0000)
Ba (0.5000, 0.5000, 0.5000)
Br (0.0000, 0.5000, 0.0000)
Br (0.0000, 0.0000, 0.5000)
Br (0.5000, 0.0000, 0.0000)

=====

3 | BaBr3N | PBE | optimized geometry

Calculated volume: 38.8 Å³ per atom

Lattice parameters (Å, degrees): 6.4520 6.4520 10.3213 105.84 105.84 97.27
Site moments in Bohr magnetons follow the coordinates.
Sites, in units of the cell vectors:
Br (0.9728, 0.7743, 0.7471)  0.37
Br (0.6890, 0.1890, 0.8779)  0.07
Br (0.0272, 0.2257, 0.2529)  0.37
Br (0.7257, 0.5273, 0.2530)  0.37
Br (0.2743, 0.4727, 0.7470)  0.37
Br (0.3110, 0.8110, 0.1221)  0.07
N (0.2862, 0.7862, 0.5000)  1.93
N (0.7138, 0.2138, 0.5000)  1.93
Ba (0.7500, 0.7500, 0.0000)  0.00
Ba (0.2500, 0.2500, 0.0000)  0.00

=====

Least stable of them? 1.

=====

1 | Ba4Br3N2 | PBE | optimized geometry

Calculated volume: 33.4 Å³ per atom

Lattice parameters (Å, degrees): 4.0425 8.1972 9.5521 101.38 90.00 104.28
Site moments in Bohr magnetons follow the coordinates.
Sites, in units of the cell vectors:
N (0.3087, 0.6174, 0.1589)  0.30
N (0.6913, 0.3826, 0.8411)  0.30
Ba (0.0916, 0.1832, 0.7018)  0.00
Ba (0.3198, 0.6396, 0.8940)  0.03
Ba (0.6802, 0.3604, 0.1060)  0.03
Ba (0.9084, 0.8168, 0.2982)  0.00
Br (0.5926, 0.1853, 0.4045)  0.01
Br (0.4074, 0.8147, 0.5955)  0.01
Br (0.0000, 0.0000, 0.0000)  0.00

=====

2 | Ba4Br3N2 | PBE | optimized geometry

Calculated volume: 33.8 Å³ per atom

Lattice parameters (Å, degrees): 7.0853 9.4610 9.4610 73.55 89.97 89.97
Site moments in Bohr magnetons follow the coordinates.
Sites, in units of the cell vectors:
Ba (0.5756, 0.4031, 0.2535)  0.02
Ba (0.0225, 0.6881, 0.0581)  0.01
Ba (0.0756, 0.2535, 0.4031)  0.02
Ba (0.9244, 0.7465, 0.5969)  0.02
Ba (0.9775, 0.3119, 0.9419)  0.01
Ba (0.5225, 0.0581, 0.6881)  0.01
Ba (0.4244, 0.5969, 0.7465)  0.02
Ba (0.4775, 0.9419, 0.3119)  0.01
N (0.5762, 0.8356, 0.5859)  0.32
N (0.4238, 0.1644, 0.4141)  0.32
N (0.9238, 0.4141, 0.1644)  0.32
N (0.0762, 0.5859, 0.8356)  0.32
Br (0.5237, 0.7559, 0.0226)  0.00
Br (0.2500, 0.5925, 0.4075)  0.00
Br (0.4763, 0.2441, 0.9774)  0.00
Br (0.0237, 0.0226, 0.7559)  0.00
Br (0.7500, 0.4075, 0.5925)  0.00
Br (0.9763, 0.9774, 0.2441)  0.00

=====

Least stable of them? 1.

=====

1 | BaBr2N | PBE | optimized geometry

Calculated volume: 41.1 Å³ per atom

Lattice parameters (Å, degrees): 5.0749 8.7381 7.8548 93.48 108.85 90.00
Site moments in Bohr magnetons follow the coordinates.
Sites, in units of the cell vectors:
N (0.5262, 0.7072, 0.0523)  1.84
N (0.4738, 0.2928, 0.9477)  1.84
Br (0.3402, 0.6139, 0.6804)  0.11
Br (0.6598, 0.3861, 0.3196)  0.11
Br (0.1423, 0.9301, 0.2845)  0.04
Br (0.8577, 0.0699, 0.7155)  0.04
Ba (0.7273, 0.7553, 0.4546)  0.02
Ba (0.2727, 0.2447, 0.5454)  0.02

=====

2 | BaBr2N | PBE | optimized geometry

Calculated volume: 48.9 Å³ per atom

Lattice parameters (Å, degrees): 6.7044 6.7044 9.9120 70.23 70.23 90.00
Site moments in Bohr magnetons follow the coordinates.
Sites, in units of the cell vectors:
Br (0.6521, 0.1250, 0.2500)  0.05
Br (0.0979, 0.6250, 0.2500)  0.05
Br (0.8750, 0.9021, 0.7500)  0.05
Br (0.3750, 0.3479, 0.7500)  0.05
N (0.5000, 0.5000, 0.0000)  1.89
N (0.2500, 0.7500, 0.5000)  1.89
Ba (0.0000, 0.0000, 0.0000)  0.00
Ba (0.7500, 0.2500, 0.5000)  0.00

=====

3 | BaBr2N | PBE | optimized geometry

Calculated volume: 30.0 Å³ per atom

Lattice parameters (Å, degrees): 5.5390 5.5390 5.5390 59.99 59.99 59.99
Site moments in Bohr magnetons follow the coordinates.
Sites, in units of the cell vectors:
N (0.5000, 0.5000, 0.5000)  1.84
Br (0.7500, 0.7500, 0.7500)  0.09
Br (0.2500, 0.2500, 0.2500)  0.09
Ba (0.0000, 0.0000, 0.0000)  0.01

=====

Least stable of them? 2.